Run a
Compound: CoNiTe2
Source: Alexandria
Functional: GGA-PBE
Structure: relaxed

```
CoNiTe2
1.0
-0.337 -1.056 5.795
4.509 -1.179 3.618
-1.800 3.713 -4.217
Te Co Ni
2 1 1
Direct
0.000 0.000 0.000 Te
0.250 0.750 0.500 Te
0.500 0.500 0.000 Co
0.750 0.250 0.500 Ni
```

As for the space group: No. 119.

Run b
Compound: CoNiTe2
Source: Alexandria
Functional: GGA-PBE
Structure: relaxed

```
CoNiTe2
1.0
-1.188 2.980 4.169
3.464 -2.736 2.943
3.322 3.843 -5.120
Co Te Ni
2 4 2
Direct
0.000 0.250 0.000 Co
0.000 0.750 0.000 Co
0.106 0.864 0.728 Te
0.622 0.364 0.728 Te
0.894 0.136 0.272 Te
0.378 0.636 0.272 Te
0.500 0.750 0.000 Ni
0.500 0.250 0.000 Ni
```

As for the space group: No. 72.

Run c
Compound: CoNiTe2
Source: Alexandria
Functional: GGA-PBE
Structure: relaxed

```
CoNiTe2
1.0
7.140 0.094 0.025
5.310 4.775 -0.025
-6.090 -2.780 2.486
Te Co Ni
2 1 1
Direct
0.738 0.238 0.500 Te
0.003 0.003 0.000 Te
0.574 0.574 0.000 Co
0.184 0.684 0.500 Ni
```

As for the space group: No. 44.

Run d
Compound: CoNiTe2
Source: Alexandria
Functional: GGA-PBE
Structure: relaxed

```
CoNiTe2
1.0
4.783 0.000 0.000
2.392 4.142 0.000
2.392 1.381 3.905
Te Ni Co
2 1 1
Direct
0.250 0.250 0.250 Te
0.000 0.000 0.000 Te
0.750 0.750 0.750 Ni
0.500 0.500 0.500 Co
```

As for the space group: No. 216.

Which structure is the most stable? The one labeled run b.